A plane-wave DFT calculation with PBE-GGA was carried out for Ni2HgIr after structural relaxation.

Geometry as CIF:
```
data_Ni2HgIr
_symmetry_space_group_name_H-M 'P 4/m m m'
_symmetry_Int_Tables_number 123
_symmetry_space_group_name_Hall '-P 4 2'
_cell_length_a 2.7756
_cell_length_b 2.7756
_cell_length_c 7.4069
_cell_angle_alpha 90.00
_cell_angle_beta 90.00
_cell_angle_gamma 90.00
loop_
_atom_site_label
_atom_site_type_symbol
_atom_site_fract_x
_atom_site_fract_y
_atom_site_fract_z
Ni1 Ni 0.0000 0.0000 0.2265
Hg1 Hg 0.5000 0.5000 0.5000
Ir1 Ir 0.5000 0.5000 0.0000
```

Output
The value obtained for the formation energy is 184 meV/atom.